1.
# PBE TaAl2Sb, relaxed
data_TaAl2Sb
_cell_length_a 3.014
_cell_length_b 3.014
_cell_length_c 8.600
_cell_angle_alpha 90.00
_cell_angle_beta 90.00
_cell_angle_gamma 90.00
_space_group_name_H-M_alt 'P 4 m m'
_space_group_IT_number 99
loop_
_space_group_symop_operation_xyz
'x,y,z'
'-y,x,z'
'-x,-y,z'
'y,-x,z'
'-x,y,z'
'y,x,z'
'x,-y,z'
'-y,-x,z'
loop_
_atom_site_label
_atom_site_type_symbol
_atom_site_fract_x
_atom_site_fract_y
_atom_site_fract_z
Ta1 Ta 0.000 0.000 0.000
Al1 Al 0.000 0.000 0.436
Al2 Al 0.500 0.500 0.220
Sb1 Sb 0.500 0.500 0.741
# Formation energy from raw total energies = 0.550 eV/f.u.

=====

2.
# PBE Th2FePd, relaxed
data_Th2FePd
_cell_length_a 3.8129
_cell_length_b 3.8129
_cell_length_c 25.5045
_cell_angle_alpha 90.00
_cell_angle_beta 90.00
_cell_angle_gamma 120.00
_space_group_name_H-M_alt 'R -3 m'
_space_group_IT_number 166
_space_group_name_Hall '-R 3 2"'
loop_
_atom_site_label
_atom_site_type_symbol
_atom_site_fract_x
_atom_site_fract_y
_atom_site_fract_z
Th1 Th 0.0000 0.0000 0.1069
Fe1 Fe 0.0000 0.0000 0.5000
Pd1 Pd 0.0000 0.0000 0.0000
# Energy relative to the elements = 0.38 eV per formula unit
# E above lowest polymorph = 1.45 eV per formula unit

=====

3.
# PBE Tm3ThPb2, relaxed
data_Tm3ThPb2
_cell_length_a 4.580
_cell_length_b 4.580
_cell_length_c 8.538
_cell_angle_alpha 90.00
_cell_angle_beta 90.00
_cell_angle_gamma 90.00
_space_group_name_H-M_alt 'P -4 m 2'
_space_group_IT_number 115
loop_
_space_group_symop_operation_xyz
'x,y,z'
'y,-x,-z'
'-x,-y,z'
'-y,x,-z'
'-x,y,z'
'-y,-x,-z'
'x,-y,z'
'y,x,-z'
loop_
_atom_site_label
_atom_site_type_symbol
_atom_site_fract_x
_atom_site_fract_y
_atom_site_fract_z
Tm1 Tm 0.000 0.000 0.000
Tm2 Tm 0.000 0.500 0.661
Th1 Th 0.500 0.500 0.000
Pb1 Pb 0.000 0.500 0.293
# Energy relative to the elements = -1.85 eV per formula unit
# E above lowest polymorph = 0.00 eV per formula unit

=====

4.
# PBE Cd2IrSe, relaxed
data_Cd2IrSe
_cell_length_a 4.205
_cell_length_b 4.205
_cell_length_c 8.549
_cell_angle_alpha 90.00
_cell_angle_beta 90.00
_cell_angle_gamma 90.00
_space_group_name_H-M_alt 'I -4 m 2'
_space_group_IT_number 119
_space_group_name_Hall 'I -4 -2'
loop_
_atom_site_label
_atom_site_type_symbol
_atom_site_fract_x
_atom_site_fract_y
_atom_site_fract_z
Cd1 Cd 0.000 0.000 0.000
Cd2 Cd 0.000 0.500 0.250
Ir1 Ir 0.000 0.500 0.750
Se1 Se 0.000 0.000 0.500
# Formation energy from raw total energies = 1.145 eV/f.u.

=====

5.
# PBE Rb2TcB, relaxed
data_Rb2TcB
_cell_length_a 8.149
_cell_length_b 8.149
_cell_length_c 8.149
_cell_angle_alpha 90.00
_cell_angle_beta 90.00
_cell_angle_gamma 90.00
_space_group_name_H-M_alt 'F m -3 m'
_space_group_IT_number 225
_space_group_name_Hall '-F 4 2 3'
loop_
_atom_site_label
_atom_site_type_symbol
_atom_site_fract_x
_atom_site_fract_y
_atom_site_fract_z
Rb1 Rb 0.250 0.250 0.250
Tc1 Tc 0.000 0.000 0.000
B1 B 0.000 0.000 0.500
# Energy relative to the elements = 8.74 eV per formula unit
# E above lowest polymorph = 4.46 eV per formula unit

=====

6.
# PBE ScNiGe, relaxed
data_ScNiGe
_cell_length_a 6.448
_cell_length_b 3.967
_cell_length_c 11.074
_cell_angle_alpha 90.00
_cell_angle_beta 90.43
_cell_angle_gamma 90.00
_space_group_name_H-M_alt 'P 1 21/m 1'
_space_group_IT_number 11
loop_
_space_group_symop_operation_xyz
'x,y,z'
'-x,-y,-z'
'-x,y+1/2,-z'
'x,-y+1/2,z'
loop_
_atom_site_label
_atom_site_type_symbol
_atom_site_fract_x
_atom_site_fract_y
_atom_site_fract_z
Sc1 Sc 0.002 0.250 0.366
Sc2 Sc 0.171 0.250 0.071
Sc3 Sc 0.496 0.250 0.303
Ni1 Ni 0.167 0.250 0.787
Ni2 Ni 0.326 0.750 0.455
Ni3 Ni 0.488 0.750 0.088
Ge1 Ge 0.213 0.750 0.244
Ge2 Ge 0.274 0.750 0.904
Ge3 Ge 0.288 0.250 0.569
# Energy relative to the elements = -2.36 eV per formula unit

=====

Calculated values (Å³ per atom) of volume for the records, taken in order: 19.53; 26.76; 29.86; 18.89; 33.83; 15.74.
Calculated values (Bohr magnetons per cell) of size of the total moment for the records, taken in order: 0.0; 0.0; 0.0; 0.0; 9.8; 0.0.